(1)
DFT (GGA-PBEsol) results for a relaxed CdGaC3 crystal.

The space group is Pm-3m (No. 221) and the conventional cell measures 4.252, 4.252 and 4.252 Å, with angles of 90.00, 90.00 and 90.00 degrees. The inequivalent atoms are Cd at (0.000, 0.000, 0.000), Ga at (0.500, 0.500, 0.500) and C at (0.000, 0.000, 0.500).

---

(2)
DFT (GGA-PBEsol) results for a relaxed Cd2GaGeC crystal.

The space group is P4/mmm (No. 123) and the conventional cell measures 5.069, 5.069 and 4.838 Å, with angles of 90.00, 90.00 and 90.00 degrees. The inequivalent atoms are Cd at (0.000, 0.500, 0.000), Ga at (0.000, 0.000, 0.500), Ge at (0.000, 0.000, 0.000) and C at (0.500, 0.500, 0.500).

---

(3)
DFT (GGA-PBEsol) results for a relaxed CdGaPdC2 crystal.

The space group is P4/mmm (No. 123) and the conventional cell measures 4.091, 4.091 and 5.178 Å, with angles of 90.00, 90.00 and 90.00 degrees. The inequivalent atoms are Cd at (0.000, 0.000, 0.000), Ga at (0.000, 0.000, 0.500), Pd at (0.500, 0.500, 0.500) and C at (0.000, 0.500, 0.000).

---

| no. | formation energy from the elements (eV/atom) | magnetization (Bohr magnetons per cell) |
| --- | --- | --- |
| 1 | 3.288 | 0.47 |
| 2 | 1.667 | 2.03 |
| 3 | 2.503 | 0.55 |